First-principles (PBE) data for a geometry-optimized Y6TmCo2 structure, as listed in the Alexandria database.

Formation energy in meV per atom: -65
SG: No. 71
Magnetization in Bohr magnetons per cell: 0.00
Total DFT energy (no corrections) in eV/f.u.: -58.048

abc: 8.5588 8.5588 8.5588
angles: 107.86 112.67 107.93
Element x y z (fractional)
Y 0.7894 0.5468 0.7574
Y 0.2106 0.9680 0.7574
Y 0.6824 0.3200 0.0024
Y 0.4720 0.1837 0.2883
Y 0.1046 0.8163 0.2883
Y 0.6824 0.6800 0.3625
Y 0.8954 0.1837 0.7117
Y 0.3176 0.6800 0.9976
Y 0.2106 0.4532 0.2426
Y 0.3176 0.3200 0.6375
Y 0.7894 0.0320 0.2426
Y 0.5280 0.8163 0.7117
Co 0.5000 0.1131 0.6131
Co 0.5000 0.8869 0.3869
Co 0.2861 0.2861 0.0000
Co 0.7139 0.7139 0.0000
Tm 0.0000 0.5000 0.5000
Tm 0.0000 0.0000 0.0000